No. 1
The following is a DFT calculation (GGA-PBE) of a relaxed structure of Ac8SiBi4Se3.

Cell and atoms, written as extended XYZ:
```
16
Lattice="4.698 2.712 7.671 -4.698 2.712 7.671 0.000 -5.424 7.671" Properties=species:S:1:pos:R:3 pbc="T T T"
Ac 0.000 0.000 5.673
Ac -2.298 -1.327 13.297
Ac 0.000 -2.654 9.715
Ac -2.298 1.327 9.715
Ac 2.298 -1.327 13.297
Ac 0.000 2.654 13.297
Ac 2.298 1.327 9.715
Ac 0.000 0.000 17.340
Si 0.000 0.000 11.506
Bi 0.000 0.000 0.000
Bi -2.349 -1.356 7.671
Bi -2.349 1.356 15.342
Bi 0.000 2.712 7.671
Se -4.698 0.000 11.506
Se -2.349 1.356 3.835
Se 2.349 1.356 3.835
```

Results
Uncorrected formation energy: -1282 meV/atom
Symmetry: R-3m (166)

***

No. 2
The following is a DFT calculation (GGA-PBE) of a relaxed structure of KCdTc2.

Cell and atoms, written as extended XYZ:
```
4
Lattice="5.261 -1.402 0.000 5.261 1.402 0.000 -0.757 0.000 6.395" Properties=species:S:1:pos:R:3 pbc="T T T"
K 0.000 0.000 0.000
Cd 4.882 0.000 3.198
Tc 1.965 0.000 4.156
Tc 7.800 0.000 2.239
```

Results
Calculated formation energy: 0.96 eV per atom
Symmetry: C2/m (12)

***

For each record above, in turn, the calculated M_tot values are 0.000, 0.000 μB/atom.